(1)
Below is a geometry-optimized GaHg4Bi structure, with properties calculated at the PBE level.

Cell: 8.6283 8.6283 8.6283 Å, 90.00 90.00 90.00°
Space group F-43m (No. 216)
Symmetry-distinct sites (fractional):
Ga  0.0000  0.0000  0.0000
Hg  0.1253  0.1253  0.3747
Bi  0.2500  0.2500  0.7500

Output
**Raw total energy**: -1.147 eV per atom
**Energy of formation from the pure elements**: 0.21 eV per atom

***

(2)
Below is a geometry-optimized GaHg3Bi3 structure, with properties calculated at the PBE level.

Cell: 8.2808 8.2808 8.2808 Å, 90.00 90.00 90.00°
Space group Pm-3n (No. 223)
Symmetry-distinct sites (fractional):
Ga  0.0000  0.0000  0.0000
Hg  0.0000  0.2500  0.5000
Bi  0.0000  0.5000  0.2500

Output
**Raw total energy**: -1.823 eV per atom
**Energy of formation from the pure elements**: 0.40 eV per atom